Material: BeTeP2
Method: DFT, PBE
State: optimized geometry

```
BeTeP2
1.0
4.874 -1.548 0.000
4.874 1.548 0.000
-2.651 0.000 5.927
Be Te P
1 1 2
Direct
0.000 0.000 0.000
0.500 0.500 0.500
0.344 0.344 0.041
0.656 0.656 0.959
```

Summary:
**Final energy**: -4.07 eV per atom
**SG**: C2/m (12)
**Uncorrected formation energy**: 348 meV per atom
**Spin magnetization**: 0.000 μB per atom